A plane-wave DFT calculation with PBE was carried out for a relaxed CsSb2Mo crystal.

Cell lengths 7.615, 7.615, 7.615 Å; angles 90.00, 90.00, 90.00 degrees
Fractional positions:
Cs1 0.000 0.000 0.000
Cs2 0.000 0.500 0.500
Cs3 0.500 0.000 0.500
Cs4 0.500 0.500 0.000
Sb1 0.250 0.250 0.250
Sb2 0.250 0.250 0.750
Sb3 0.250 0.750 0.250
Sb4 0.250 0.750 0.750
Sb5 0.750 0.250 0.250
Sb6 0.750 0.250 0.750
Sb7 0.750 0.750 0.250
Sb8 0.750 0.750 0.750
Mo1 0.000 0.000 0.500
Mo2 0.000 0.500 0.000
Mo3 0.500 0.000 0.000
Mo4 0.500 0.500 0.500

space group	Fm-3m, No. 225
total magnetization	8.86	Bohr magnetons per cell
formation energy (no corrections)	811	meV per atom
final energy	-4.172	eV/atom

A plane-wave DFT calculation with PBE was carried out for a relaxed PmNd4Cd crystal.

Cell lengths 8.537, 8.537, 6.474 Å; angles 100.02, 100.02, 116.33 degrees
Fractional positions:
Pm1 0.087 0.913 0.750
Pm2 0.913 0.087 0.250
Nd1 0.096 0.335 0.876
Nd2 0.212 0.593 0.454
Nd3 0.335 0.096 0.376
Nd4 0.407 0.788 0.046
Nd5 0.593 0.212 0.954
Nd6 0.665 0.904 0.624
Nd7 0.788 0.407 0.546
Nd8 0.904 0.665 0.124
Cd1 0.499 0.501 0.750
Cd2 0.501 0.499 0.250

energy relative to the elements	-0.006	eV per atom
space group	C2/c, No. 15
total magnetization	0.00	Bohr magnetons per cell
offset from the most stable computed form	91	meV per atom
final energy	-4.129	eV/atom

A plane-wave DFT calculation with PBE was carried out for a relaxed PmNdTc2O8 crystal.

Cell lengths 6.900, 6.900, 6.900 Å; angles 134.71, 134.71, 65.98 degrees
Fractional positions:
Pm1 0.000 0.000 0.000
Nd1 0.750 0.250 0.500
Tc1 0.250 0.750 0.500
Tc2 0.500 0.500 0.000
O1 0.006 0.916 0.592
O2 0.084 0.676 0.090
O3 0.165 0.254 0.588
O4 0.324 0.414 0.408
O5 0.422 0.835 0.089
O6 0.586 0.994 0.910
O7 0.666 0.578 0.412
O8 0.746 0.334 0.911

space group	I-4, No. 82
total magnetization	4.03	Bohr magnetons per cell
formation energy (no corrections)	-2213	meV per atom
final energy	-8.039	eV/atom

A plane-wave DFT calculation with PBE was carried out for a relaxed KGaAgHg2 crystal.

Cell lengths 5.543, 5.543, 5.075 Å; angles 90.00, 90.00, 90.00 degrees
Fractional positions:
K1 0.000 0.000 0.000
Ga1 0.500 0.500 0.000
Ag1 0.500 0.500 0.500
Hg1 0.000 0.500 0.500
Hg2 0.500 0.000 0.500

energy relative to the elements	0.028	eV per atom
space group	P4/mmm, No. 123
total magnetization	0.00	Bohr magnetons per cell
offset from the most stable computed form	90	meV per atom
final energy	-1.488	eV/atom

A plane-wave DFT calculation with PBE was carried out for a relaxed TcAsPBr2 crystal.

Cell lengths 5.185, 5.185, 4.837 Å; angles 90.00, 90.00, 90.00 degrees
Fractional positions:
Tc1 0.000 0.000 0.000
As1 0.000 0.000 0.500
P1 0.500 0.500 0.500
Br1 0.000 0.500 0.000
Br2 0.500 0.000 0.000

space group	P4/mmm, No. 123
total magnetization	3.62	Bohr magnetons per cell
offset from the most stable computed form	0	meV per atom
formation energy (no corrections)	829	meV per atom
final energy	-3.925	eV/atom

A plane-wave DFT calculation with PBE was carried out for a relaxed TbSm2Al6 crystal.

Cell lengths 8.027, 8.027, 8.027 Å; angles 147.96, 126.66, 63.59 degrees
Fractional positions:
Tb1 0.000 0.000 0.000
Sm1 0.375 0.875 0.500
Sm2 0.625 0.125 0.500
Al1 0.008 0.317 0.691
Al2 0.310 0.500 0.810
Al3 0.374 0.683 0.691
Al4 0.626 0.317 0.309
Al5 0.690 0.500 0.190
Al6 0.992 0.683 0.309

energy relative to the elements	-0.218	eV per atom
space group	Immm, No. 71
total magnetization	0.00	Bohr magnetons per cell
offset from the most stable computed form	271	meV per atom
final energy	-4.276	eV/atom

total magnetization of number 4 (KGaAgHg2)? 0.00 Bohr magnetons per cell

Which of these has the highest final energy? KGaAgHg2

Look up the total magnetization of the first one. 8.86 Bohr magnetons per cell